TlZnRu2: optimized geometry, GGA-PBE.

Computed properties:
- Crystal system: tetragonal
- Total DFT energy (no corrections): -15.7 eV per formula unit
- Energy relative to the elements: 1.63 eV per atom
- D(E_F): 2.520 states/eV per atom
- Offset from the most stable computed form: 1377 meV per atom
- Space-group type: I-42d

abc: 5.902 5.902 7.117
angles: 65.51 65.51 90.00
Last column: magnetic moment on the atom in μB.
Atoms (fractional coordinates):
Ru 0.583 0.125 0.250  1.37
Ru 0.167 0.625 0.250  1.36
Ru 0.375 0.417 0.750  1.42
Ru 0.875 0.833 0.750  1.42
Tl 0.000 0.000 0.000  -0.02
Tl 0.750 0.250 0.500  -0.02
Zn 0.500 0.500 0.000  0.00
Zn 0.250 0.750 0.500  0.00

---

DyU2PaC4: optimized geometry, GGA-PBE.

Computed properties:
- Crystal system: monoclinic
- Total DFT energy (no corrections): -75.7 eV per formula unit
- Energy relative to the elements: -0.27 eV per atom
- D(E_F): 0.981 states/eV per atom
- Space-group type: P2/m

abc: 3.563 6.081 6.170
angles: 70.07 90.00 90.00
Atoms (fractional coordinates):
Dy 0.000 0.500 0.500
U 0.000 0.000 0.000
U 0.500 0.000 0.500
Pa 0.500 0.500 0.000
C 0.000 0.773 0.746
C 0.000 0.227 0.254
C 0.500 0.781 0.234
C 0.500 0.219 0.766

---

LaZnBr2: optimized geometry, GGA-PBE.

Computed properties:
- Crystal system: monoclinic
- Total DFT energy (no corrections): -13.5 eV per formula unit
- D(E_F): 0.676 states/eV per atom
- Formation energy without anion corrections: -1000 meV/atom
- Offset from the most stable computed form: 98 meV per atom
- Space-group type: C2/m

abc: 5.457 5.457 5.827
angles: 75.40 75.40 43.60
Atoms (fractional coordinates):
Br 0.024 0.024 0.973
Br 0.476 0.476 0.527
La 0.750 0.750 0.750
Zn 0.250 0.250 0.250